DFT (PBE+U) results for a relaxed RbFeO2 crystal.

Output
- Density of states at the Fermi level: 0.0 states/eV/cell
- Mass density: 3.90 g/cm3
- Size of the total moment: 20.000 Bohr magnetons per cell
- Uncorrected energy: -90.11 eV for the cell shown

Lattice parameters (Å, degrees): 6.0155 8.1964 5.9837 90.00 90.00 90.00
Closest atoms and distances in Å follow each position.
Space group Pna2_1 (No. 33)
Unique sites:
Rb: 0.0639 0.1223 0.0000 x4  4 O 2.88-2.94
Fe: 0.0463 0.6266 0.0130 x4  4 O 1.91-1.92
O: 0.0069 0.5500 0.3123 x4  2 Fe 1.91
O: 0.1503 0.1928 0.4712 x4  2 Fe 1.91-1.92